# 1
# GGA-PBE UPaCrC3, relaxed
# **Volume**: 14.77 Å³ per atom
# **M_tot**: 0.0 Bohr magnetons per cell
# **Energy of formation**: -0.049 eV/atom
data_UPaCrC3
_space_group_name_H-M_alt 'P 1 21/m 1'
_space_group_IT_number 11
_cell_length_a 7.299
_cell_length_b 3.317
_cell_length_c 7.388
_cell_angle_alpha 90.00
_cell_angle_beta 97.88
_cell_angle_gamma 90.00
loop_
_space_group_symop_operation_xyz
'x,y,z'
'-x,-y,-z'
'-x,y+1/2,-z'
'x,-y+1/2,z'
loop_
_atom_site_label
_atom_site_type_symbol
_atom_site_fract_x
_atom_site_fract_y
_atom_site_fract_z
_atom_site_occupancy
U1 U 0.143 0.250 0.185 1
Pa1 Pa 0.338 0.750 0.815 1
Cr1 Cr 0.401 0.750 0.412 1
C1 C 0.093 0.250 0.875 1
C2 C 0.327 0.250 0.529 1
C3 C 0.382 0.750 0.145 1

# 2
# GGA-PBE Li3NdTm2S6, relaxed
# **Volume**: 20.66 Å³ per atom
# **M_tot**: 0.0 Bohr magnetons per cell
# **Raw formation energy**: -1828.9 meV/atom
data_Li3NdTm2S6
_space_group_name_H-M_alt 'C 1 2/m 1'
_space_group_IT_number 12
_cell_length_a 6.803
_cell_length_b 11.790
_cell_length_c 6.581
_cell_angle_alpha 90.00
_cell_angle_beta 110.06
_cell_angle_gamma 90.00
loop_
_space_group_symop_operation_xyz
'x,y,z'
'-x,-y,-z'
'-x,y,-z'
'x,-y,z'
'x+1/2,y+1/2,z'
'-x+1/2,-y+1/2,-z'
'-x+1/2,y+1/2,-z'
'x+1/2,-y+1/2,z'
loop_
_atom_site_label
_atom_site_type_symbol
_atom_site_fract_x
_atom_site_fract_y
_atom_site_fract_z
_atom_site_occupancy
Li1 Li 0.000 0.000 0.000 1
Li2 Li 0.000 0.329 0.000 1
Nd1 Nd 0.000 0.500 0.500 1
Tm1 Tm 0.000 0.166 0.500 1
S1 S 0.238 0.000 0.752 1
S2 S 0.244 0.173 0.250 1

# 3
# GGA-PBE CaCr2Cl, relaxed
# **Volume**: 22.91 Å³ per atom
# **M_tot**: 26.7 Bohr magnetons per cell
# **Raw formation energy**: 443.6 meV/atom
# **Excess energy over the best structure of this formula in the dataset**: 0.594 eV/atom
data_CaCr2Cl
_space_group_name_H-M_alt 'R -3 m'
_space_group_IT_number 166
_space_group_name_Hall '-R 3 2"'
_cell_length_a 3.4078
_cell_length_b 3.4078
_cell_length_c 27.3401
_cell_angle_alpha 90.00
_cell_angle_beta 90.00
_cell_angle_gamma 120.00
loop_
_atom_site_label
_atom_site_type_symbol
_atom_site_fract_x
_atom_site_fract_y
_atom_site_fract_z
_atom_site_occupancy
Ca1 Ca 0.0000 0.0000 0.0000 1
Cr1 Cr 0.0000 0.0000 0.2382 1
Cl1 Cl 0.0000 0.0000 0.5000 1

# 4
# GGA-PBE TlFeSe, relaxed
# **Volume**: 20.72 Å³ per atom
# **M_tot**: 2.0 Bohr magnetons per cell
# **Raw formation energy**: 130.4 meV/atom
# **Excess energy over the best structure of this formula in the dataset**: 0.247 eV/atom
data_TlFeSe
_space_group_name_H-M_alt 'P 3 m 1'
_space_group_IT_number 156
_cell_length_a 3.4032
_cell_length_b 3.4032
_cell_length_c 6.1978
_cell_angle_alpha 90.00
_cell_angle_beta 90.00
_cell_angle_gamma 120.00
loop_
_space_group_symop_operation_xyz
'x,y,z'
'-y,x-y,z'
'-x+y,-x,z'
'-y,-x,z'
'-x+y,y,z'
'x,x-y,z'
loop_
_atom_site_label
_atom_site_type_symbol
_atom_site_fract_x
_atom_site_fract_y
_atom_site_fract_z
_atom_site_occupancy
Tl1 Tl 0.0000 0.0000 0.0000 1
Fe1 Fe 0.6667 0.3333 0.3393 1
Se1 Se 0.3333 0.6667 0.5501 1

> volume of number 3 (CaCr2Cl)?

22.91 Å³ per atom

> M_tot of number 3 (CaCr2Cl)?

26.7 Bohr magnetons per cell

> Which value of volume does entry 1 give?

14.77 Å³ per atom